Compound: PmYBiN
Source: Alexandria via LeMat-Bulk
Functional: GGA-PBE
Structure: optimized geometry

It has space group P4/nmm (No. 129, origin choice 2), with a = 4.6111 Å, b = 4.6111 Å, c = 9.2848 Å, α = 90.00°, β = 90.00° and γ = 90.00°. Symmetry generates all atoms from Pm at (0.2500, 0.2500, 0.1810), Y at (0.2500, 0.7500, 0.5000), Bi at (0.2500, 0.2500, 0.8086) and N at (0.2500, 0.2500, 0.4288).

The density of states at the Fermi level comes out at 1.18 states/eV per cell. The calculation puts the final energy at -7.1145 eV/atom. The calculation puts the uncorrected formation energy at -1.259 eV/atom.



Compound: Pm2YBi2N2
Source: Alexandria via LeMat-Bulk
Functional: GGA-PBE
Structure: optimized geometry

It has space group I4/mmm (No. 139), with a = 4.5265 Å, b = 4.5265 Å, c = 16.1734 Å, α = 90.00°, β = 90.00° and γ = 90.00°. Symmetry generates all atoms from Pm at (0.0000, 0.0000, 0.0921), Y at (0.0000, 0.0000, 0.5000), Bi at (0.0000, 0.0000, 0.2864) and N at (0.0000, 0.5000, 0.0000).

The density of states at the Fermi level comes out at 6.82 states/eV per cell. The calculation puts the final energy at -6.6370 eV/atom. The calculation puts the uncorrected formation energy at -0.869 eV/atom.



Compound: Pr3BiN
Source: Alexandria via LeMat-Bulk
Functional: GGA-PBE
Structure: optimized geometry

It has space group C2/m (No. 12), with a = 16.9483 Å, b = 4.2093 Å, c = 8.7652 Å, α = 90.00°, β = 101.00° and γ = 90.00°. Symmetry generates all atoms from Pr at (0.0363, 0.0000, 0.3286), Pr at (0.1604, 0.0000, 0.9525), Pr at (0.1660, 0.5000, 0.6213), Bi at (0.1785, 0.5000, 0.2427) and N at (0.0906, 0.0000, 0.5985).

The density of states at the Fermi level comes out at 16.78 states/eV per cell. The calculation puts the final energy at -6.0936 eV/atom. The calculation puts the uncorrected formation energy at -0.785 eV/atom.



Compound: Pr2BiN
Source: Alexandria via LeMat-Bulk
Functional: GGA-PBE
Structure: optimized geometry

It has space group P4/nmm (No. 129, origin choice 2), with a = 4.7850 Å, b = 4.7850 Å, c = 9.4863 Å, α = 90.00°, β = 90.00° and γ = 90.00°. Symmetry generates all atoms from Pr at (0.2500, 0.2500, 0.1760), Pr at (0.2500, 0.7500, 0.5000), Bi at (0.2500, 0.2500, 0.8059) and N at (0.2500, 0.2500, 0.4180).

The density of states at the Fermi level comes out at 1.26 states/eV per cell. The calculation puts the final energy at -6.5759 eV/atom. The calculation puts the uncorrected formation energy at -1.135 eV/atom. As for the excess energy over the best structure of this formula in the dataset: 0.000 eV/atom.



Compound: Pr4Bi3N2
Source: Alexandria via LeMat-Bulk
Functional: GGA-PBE
Structure: optimized geometry

It has space group C2/m (No. 12), with a = 14.3016 Å, b = 4.0439 Å, c = 9.7875 Å, α = 90.00°, β = 114.06° and γ = 90.00°. Symmetry generates all atoms from Pr at (0.1334, 0.0000, 0.4312), Pr at (0.2040, 0.5000, 0.1461), Bi at (0.0000, 0.0000, 0.0000), Bi at (0.0891, 0.5000, 0.7460) and N at (0.1999, 0.5000, 0.3702).

The density of states at the Fermi level comes out at 5.80 states/eV per cell. The calculation puts the final energy at -6.1816 eV/atom. The calculation puts the uncorrected formation energy at -0.914 eV/atom.



Compound: Pr2BiN
Source: Alexandria via LeMat-Bulk
Functional: GGA-PBE
Structure: optimized geometry

It has space group R3m (No. 160, hexagonal axes), with a = 3.7291 Å, b = 3.7291 Å, c = 24.6535 Å, α = 90.00°, β = 90.00° and γ = 120.00°. Symmetry generates all atoms from Pr at (0.0000, 0.0000, 0.0000), Pr at (0.0000, 0.0000, 0.2200), Bi at (0.0000, 0.0000, 0.4427) and N at (0.0000, 0.0000, 0.6103).

The density of states at the Fermi level comes out at 7.32 states/eV per cell. The calculation puts the final energy at -6.4118 eV/atom. The calculation puts the uncorrected formation energy at -0.971 eV/atom. As for the excess energy over the best structure of this formula in the dataset: 0.164 eV/atom.



Compound: PrBiN
Source: Alexandria via LeMat-Bulk
Functional: GGA-PBE
Structure: optimized geometry

It has space group P4/nmm (No. 129, origin choice 2), with a = 4.3036 Å, b = 4.3036 Å, c = 8.3276 Å, α = 90.00°, β = 90.00° and γ = 90.00°. Symmetry generates all atoms from Pr at (0.2500, 0.2500, 0.1238), Bi at (0.2500, 0.2500, 0.5720) and N at (0.2500, 0.7500, 0.0000).

The density of states at the Fermi level comes out at 4.70 states/eV per cell. The calculation puts the final energy at -6.3181 eV/atom. The calculation puts the uncorrected formation energy at -0.656 eV/atom.



Compound: Pr5Bi5N
Source: Alexandria via LeMat-Bulk
Functional: GGA-PBE
Structure: optimized geometry

It has space group C2/m (No. 12), with a = 13.2958 Å, b = 6.3150 Å, c = 9.6784 Å, α = 90.00°, β = 117.96° and γ = 90.00°. Symmetry generates all atoms from Pr at (0.0000, 0.0000, 0.0000), Pr at (0.1441, 0.5000, 0.8905), Pr at (0.1605, 0.5000, 0.2771), Bi at (0.0000, 0.5000, 0.5000), Bi at (0.1110, 0.0000, 0.7696), Bi at (0.2226, 0.0000, 0.3377) and N at (0.0000, 0.5000, 0.0000).

The density of states at the Fermi level comes out at 9.97 states/eV per cell. The calculation puts the final energy at -5.3437 eV/atom. The calculation puts the uncorrected formation energy at -0.650 eV/atom.